No. 1
A plane-wave DFT calculation with GGA-PBE was carried out for a geometry-optimized Ge3TeAu structure.

Unit cell a=5.0852 b=5.0852 c=5.0852 alpha=90.00 beta=90.00 gamma=90.00
Sites, in units of the cell vectors:
Ge: 0.0000 0.5000 0.0000
Ge: 0.0000 0.0000 0.5000
Ge: 0.5000 0.0000 0.0000
Te: 0.5000 0.5000 0.5000
Au: 0.0000 0.0000 0.0000

Calculated values
Its formation energy (no corrections) is 476 meV per atom. The magnetization is 0.000 μB per cell. The density of states at the Fermi level comes out at 2.8 states/eV/cell. The calculation puts the excess energy over the best structure of this formula in the dataset at 0 meV per atom.

=====

No. 2
A plane-wave DFT calculation with GGA-PBE was carried out for a geometry-optimized Ge3Te4Au structure.

Unit cell a=4.1901 b=7.2748 c=7.2768 alpha=70.15 beta=90.19 gamma=89.83
Sites, in units of the cell vectors:
Ge: 0.4992 0.9999 0.5002
Ge: 0.0101 0.0071 0.9918
Ge: 0.0100 0.5079 0.4927
Te: 0.9989 0.7458 0.7545
Te: 0.4930 0.7445 0.2556
Te: 0.9953 0.2504 0.2500
Te: 0.4931 0.2446 0.7557
Au: 0.5002 0.5008 0.9993

Calculated values
Its formation energy (no corrections) is -44 meV per atom. The magnetization is 0.000 μB per cell. The density of states at the Fermi level comes out at 2.8 states/eV/cell.